(1)
! TaPdCl3 | Alexandria | meta-GGA SCAN | single point on PBEsol structure; values from VASP
&SYSTEM
  ibrav = 0, nat = 5, ntyp = 3
/
ATOMIC_SPECIES
Ta 180.95 Ta.upf
Pd 106.42 Pd.upf
Cl 35.45 Cl.upf
CELL_PARAMETERS angstrom
4.7371 0.0000 0.0000
0.0000 4.7371 0.0000
0.0000 0.0000 4.7371
ATOMIC_POSITIONS crystal
Ta 0.0000 0.0000 0.0000
Pd 0.5000 0.5000 0.5000
Cl 0.0000 0.5000 0.5000
Cl 0.5000 0.0000 0.5000
Cl 0.5000 0.5000 0.0000
! raw formation energy = 0.607 eV/atom
! volume = 21.26 Å³ per atom

***

(2)
! YTcPdCl2 | Alexandria | meta-GGA SCAN | single point on PBEsol structure; values from VASP
&SYSTEM
  ibrav = 0, nat = 5, ntyp = 4
/
ATOMIC_SPECIES
Y 88.91 Y.upf
Tc 98.00 Tc.upf
Pd 106.42 Pd.upf
Cl 35.45 Cl.upf
CELL_PARAMETERS angstrom
4.3993 0.0000 0.0000
0.0000 4.3993 0.0000
0.0000 0.0000 5.9109
ATOMIC_POSITIONS crystal
Y 0.0000 0.0000 0.0000
Tc 0.0000 0.0000 0.5000
Pd 0.5000 0.5000 0.0000
Cl 0.0000 0.5000 0.5000
Cl 0.5000 0.0000 0.5000
! raw formation energy = 0.050 eV/atom
! volume = 22.88 Å³ per atom